Entry 1:
# HfGeIN2

An optimized crystal structure of HfGeIN2 (GGA-PBE, Alexandria).

Calculated total energy = -6.08 eV/atom
Space-group type = P4/mmm
Energy above the lowest structure with this stoichiometry = 0.0 meV per atom
Formation energy from raw total energies = 0.47 eV/atom
Total magnetic moment = 0.0 μB per cell

Structure (extended XYZ):
```
5
Lattice="4.215 0.000 0.000 0.000 4.215 0.000 0.000 0.000 5.838" Properties=species:S:1:pos:R:3 pbc="T T T"
Hf 0.000 0.000 0.000
Ge 2.108 2.108 2.919
I 0.000 0.000 2.919
N 0.000 2.108 0.000
N 2.108 0.000 0.000
```

=====

Entry 2:
# Nb4Ge2N

An optimized crystal structure of Nb4Ge2N (GGA-PBE, Alexandria).

Calculated total energy = -8.60 eV/atom
Space-group type = I4/mmm
Formation energy from raw total energies = -0.34 eV/atom
Total magnetic moment = 0.0 μB per cell

Structure (extended XYZ):
```
7
Lattice="-2.069 2.069 6.853 2.069 -2.069 6.853 2.069 2.069 -6.853" Properties=species:S:1:pos:R:3 pbc="T T T"
Nb 2.069 0.000 0.000
Nb 0.000 0.000 2.227
Nb 0.000 2.069 0.000
Nb 0.000 0.000 11.480
Ge 0.000 0.000 4.866
Ge 0.000 0.000 8.840
N 0.000 0.000 0.000
```

=====

Entry 3:
# LaMo2IrPd

An optimized crystal structure of LaMo2IrPd (GGA-PBE, Alexandria).

Calculated total energy = -7.17 eV/atom
ΔH_f (0 K) = 4.786 eV/f.u.
Space-group type = P4/mmm
Total magnetic moment = 0.0 μB per cell

Structure (extended XYZ):
```
5
Lattice="4.734 0.000 0.000 0.000 4.734 0.000 0.000 0.000 5.584" Properties=species:S:1:pos:R:3 pbc="T T T"
La 0.000 0.000 0.000
Mo 0.000 2.367 2.792
Mo 2.367 0.000 2.792
Ir 0.000 0.000 2.792
Pd 2.367 2.367 0.000
```

=====

Entry 4:
# ZrSiAu2

An optimized crystal structure of ZrSiAu2 (GGA-PBE, Alexandria).

Calculated total energy = -5.17 eV/atom
Space-group type = R-3m
Formation energy from raw total energies = -0.04 eV/atom
Total magnetic moment = 0.0 μB per cell

Structure (extended XYZ):
```
4
Lattice="1.528 0.882 9.102 -1.528 0.882 9.102 0.000 -1.764 9.102" Properties=species:S:1:pos:R:3 pbc="T T T"
Zr 0.000 0.000 0.000
Si 0.000 0.000 13.654
Au 0.000 0.000 6.617
Au 0.000 0.000 20.691
```